No. 1
## Dy4Ga12Mo (PBE)

Data for crystalline Dy4Ga12Mo at its relaxed geometry.

## Properties
Energy of formation from the pure elements ... -0.51 eV per atom
Raw total energy ... -74.22 eV per cell
Volume ... 19.12 Å³/atom
SG ... Im-3m, No. 229
Crystal system ... cubic
DOS(E_F) ... 10.4 states/eV/cell

Unit cell a=7.502 b=7.502 c=7.502 alpha=109.47 beta=109.47 gamma=109.47
Fractional coordinates of all 17 atoms:
Dy (0.000, 0.000, 0.500)
Dy (0.500, 0.000, 0.000)
Dy (0.500, 0.500, 0.500)
Dy (0.000, 0.500, 0.000)
Ga (0.000, 0.294, 0.294)
Ga (0.000, 0.706, 0.706)
Ga (0.706, 0.706, 0.000)
Ga (0.294, 0.294, 0.000)
Ga (0.294, 0.000, 0.294)
Ga (0.706, 0.000, 0.706)
Ga (0.500, 0.250, 0.750)
Ga (0.500, 0.750, 0.250)
Ga (0.750, 0.250, 0.500)
Ga (0.250, 0.750, 0.500)
Ga (0.750, 0.500, 0.250)
Ga (0.250, 0.500, 0.750)
Mo (0.000, 0.000, 0.000)



No. 2
## DyGaMo (PBE)

Data for crystalline DyGaMo at its relaxed geometry.

## Properties
Energy of formation from the pure elements ... -0.31 eV per atom
Raw total energy ... -38.81 eV per cell
Volume ... 20.38 Å³/atom
SG ... P4/nmm, No. 129
Crystal system ... tetragonal
DOS(E_F) ... 3.6 states/eV/cell

Unit cell a=3.925 b=3.925 c=7.937 alpha=90.00 beta=90.00 gamma=90.00
Last column: magnetic moment on the atom in μB.
Fractional coordinates of all 6 atoms:
Dy (0.000, 0.500, 0.850)  0.36
Dy (0.500, 0.000, 0.150)  0.36
Ga (0.000, 0.500, 0.263)  -0.01
Ga (0.500, 0.000, 0.737)  -0.01
Mo (0.500, 0.500, 0.500)  0.07
Mo (0.000, 0.000, 0.500)  0.07



No. 3
## DyPaGaMo (PBE)

Data for crystalline DyPaGaMo at its relaxed geometry.

## Properties
Energy of formation from the pure elements ... 0.01 eV per atom
Raw total energy ... -27.93 eV per cell
Volume ... 21.88 Å³/atom
SG ... F-43m, No. 216
Crystal system ... cubic
DOS(E_F) ... 3.8 states/eV/cell

Unit cell a=4.984 b=4.984 c=4.984 alpha=60.00 beta=60.00 gamma=60.00
Fractional coordinates of all 4 atoms:
Mo (0.750, 0.750, 0.750)
Pa (0.000, 0.000, 0.000)
Ga (0.250, 0.250, 0.250)
Dy (0.500, 0.500, 0.500)



No. 4
## Dy2Ga2MoRu5 (PBE)

Data for crystalline Dy2Ga2MoRu5 at its relaxed geometry.

## Properties
Energy of formation from the pure elements ... -0.29 eV per atom
Raw total energy ... -150.82 eV per cell
Volume ... 16.86 Å³/atom
SG ... P4/mbm, No. 127
Crystal system ... tetragonal
DOS(E_F) ... 12.0 states/eV/cell

Unit cell a=3.300 b=10.107 c=10.107 alpha=90.00 beta=90.00 gamma=90.00
Fractional coordinates of all 20 atoms:
Dy (0.000, 0.671, 0.171)
Dy (0.000, 0.329, 0.829)
Dy (0.000, 0.171, 0.329)
Dy (0.000, 0.829, 0.671)
Ga (0.000, 0.128, 0.628)
Ga (0.000, 0.872, 0.372)
Ga (0.000, 0.628, 0.872)
Ga (0.000, 0.372, 0.128)
Mo (0.000, 0.000, 0.000)
Mo (0.000, 0.500, 0.500)
Ru (0.500, 0.196, 0.064)
Ru (0.500, 0.804, 0.936)
Ru (0.500, 0.064, 0.804)
Ru (0.500, 0.696, 0.436)
Ru (0.500, 0.936, 0.196)
Ru (0.500, 0.304, 0.564)
Ru (0.500, 0.564, 0.696)
Ru (0.500, 0.436, 0.304)
Ru (0.500, 0.500, 0.000)
Ru (0.500, 0.000, 0.500)



No. 5
## Dy6Ga2N (PBE)

Data for crystalline Dy6Ga2N at its relaxed geometry.

## Properties
Raw total energy ... -43.74 eV per cell
Volume ... 24.91 Å³/atom
Formation energy (no corrections) ... -0.1943 eV per atom
SG ... Immm, No. 71
Crystal system ... orthorhombic
DOS(E_F) ... 9.9 states/eV/cell

Unit cell a=5.024 b=6.646 c=7.901 alpha=114.87 beta=108.51 gamma=90.00
Fractional coordinates of all 9 atoms:
Dy (0.150, 0.395, 0.299)
Dy (0.850, 0.096, 0.701)
Dy (0.850, 0.605, 0.701)
Dy (0.500, 0.237, 0.000)
Dy (0.150, 0.904, 0.299)
Dy (0.500, 0.763, 0.000)
Ga (0.671, 0.670, 0.341)
Ga (0.329, 0.330, 0.659)
N (0.000, 0.000, 0.000)



No. 6
## Dy6Ga3N (PBE)

Data for crystalline Dy6Ga3N at its relaxed geometry.

## Properties
Raw total energy ... -50.99 eV per cell
Volume ... 23.64 Å³/atom
Formation energy (no corrections) ... -0.5970 eV per atom
SG ... C2/m, No. 12
Crystal system ... monoclinic
DOS(E_F) ... 8.6 states/eV/cell

Unit cell a=6.495 b=6.494 c=6.494 alpha=60.65 beta=82.98 gamma=82.98
Fractional coordinates of all 10 atoms:
Dy (0.349, 0.143, 0.632)
Dy (0.651, 0.368, 0.857)
Dy (0.651, 0.857, 0.368)
Dy (0.349, 0.632, 0.143)
Dy (0.149, 0.644, 0.644)
Dy (0.851, 0.356, 0.356)
Ga (0.253, 0.161, 0.161)
Ga (0.747, 0.839, 0.839)
Ga (0.000, 0.000, 0.000)
N (0.500, 0.500, 0.500)



No. 7
## Dy12Ga6N (PBE)

Data for crystalline Dy12Ga6N at its relaxed geometry.

## Properties
Raw total energy ... -91.12 eV per cell
Volume ... 25.80 Å³/atom
Formation energy (no corrections) ... -0.4950 eV per atom
SG ... R-3, No. 148
Crystal system ... trigonal
DOS(E_F) ... 14.0 states/eV/cell

Unit cell a=7.903 b=7.903 c=7.903 alpha=93.82 beta=93.82 gamma=93.82
Fractional coordinates of all 19 atoms:
Dy (0.805, 0.581, 0.456)
Dy (0.456, 0.805, 0.581)
Dy (0.581, 0.456, 0.805)
Dy (0.195, 0.419, 0.544)
Dy (0.544, 0.195, 0.419)
Dy (0.419, 0.544, 0.195)
Dy (0.961, 0.076, 0.294)
Dy (0.924, 0.706, 0.039)
Dy (0.706, 0.039, 0.924)
Dy (0.039, 0.924, 0.706)
Dy (0.076, 0.294, 0.961)
Dy (0.294, 0.961, 0.076)
Ga (0.644, 0.855, 0.254)
Ga (0.746, 0.356, 0.145)
Ga (0.145, 0.746, 0.356)
Ga (0.356, 0.145, 0.746)
Ga (0.254, 0.644, 0.855)
Ga (0.855, 0.254, 0.644)
N (0.000, 0.000, 0.000)



No. 8
## Dy2GaN (PBE)

Data for crystalline Dy2GaN at its relaxed geometry.

## Properties
Raw total energy ... -24.75 eV per cell
Volume ... 19.71 Å³/atom
Formation energy (no corrections) ... -1.0475 eV per atom
SG ... R-3m, No. 166
Crystal system ... trigonal
DOS(E_F) ... 2.0 states/eV/cell

Unit cell a=3.525 b=3.525 c=7.602 alpha=76.59 beta=76.59 gamma=60.00
Fractional coordinates of all 4 atoms:
N (0.500, 0.500, 0.500)
Ga (0.000, 0.000, 0.000)
Dy (0.771, 0.771, 0.686)
Dy (0.229, 0.229, 0.314)



No. 9
## Dy7Ga2N2 (PBE)

Data for crystalline Dy7Ga2N2 at its relaxed geometry.

## Properties
Raw total energy ... -62.84 eV per cell
Volume ... 22.81 Å³/atom
Formation energy (no corrections) ... -0.7197 eV per atom
SG ... C2/m, No. 12
Crystal system ... monoclinic
DOS(E_F) ... 8.7 states/eV/cell

Unit cell a=4.893 b=7.950 c=7.950 alpha=122.88 beta=82.91 gamma=82.91
Fractional coordinates of all 11 atoms:
Dy (0.220, 0.851, 0.512)
Dy (0.780, 0.488, 0.149)
Dy (0.780, 0.149, 0.488)
Dy (0.220, 0.512, 0.851)
Dy (0.000, 0.000, 0.000)
Dy (0.685, 0.655, 0.655)
Dy (0.315, 0.345, 0.345)
Ga (0.500, 0.140, 0.860)
Ga (0.500, 0.860, 0.140)
N (0.832, 0.323, 0.323)
N (0.168, 0.677, 0.677)



No. 10
## NdDyGaN3 (PBE)

Data for crystalline NdDyGaN3 at its relaxed geometry.

## Properties
Raw total energy ... -86.33 eV per cell
Volume ... 15.94 Å³/atom
Formation energy (no corrections) ... -0.9655 eV per atom
SG ... P2_1/m, No. 11
Crystal system ... monoclinic

Unit cell a=3.459 b=7.311 c=7.626 alpha=97.32 beta=90.00 gamma=90.00
Fractional coordinates of all 12 atoms:
Nd (0.250, 0.174, 0.183)
Nd (0.750, 0.826, 0.817)
Dy (0.250, 0.638, 0.156)
Dy (0.750, 0.362, 0.844)
Ga (0.250, 0.105, 0.604)
Ga (0.750, 0.895, 0.396)
N (0.750, 0.871, 0.142)
N (0.250, 0.129, 0.858)
N (0.250, 0.832, 0.505)
N (0.750, 0.168, 0.495)
N (0.750, 0.402, 0.141)
N (0.250, 0.598, 0.859)



No. 11
## DyPa2GaN5 (PBE)

Data for crystalline DyPa2GaN5 at its relaxed geometry.

## Properties
Raw total energy ... -158.65 eV per cell
Volume ... 14.30 Å³/atom
Formation energy (no corrections) ... -1.2306 eV per atom
SG ... Cmc2_1, No. 36
Crystal system ... orthorhombic
DOS(E_F) ... 7.4 states/eV/cell

Unit cell a=3.448 b=7.052 c=10.917 alpha=90.00 beta=90.00 gamma=104.15
Fractional coordinates of all 18 atoms:
Dy (0.787, 0.574, 0.484)
Dy (0.213, 0.426, 0.984)
Pa (0.874, 0.749, 0.752)
Pa (0.138, 0.275, 0.699)
Pa (0.126, 0.251, 0.252)
Pa (0.862, 0.725, 0.199)
Ga (0.498, 0.996, 0.988)
Ga (0.502, 0.004, 0.488)
N (0.367, 0.735, 0.065)
N (0.711, 0.421, 0.828)
N (0.479, 0.957, 0.805)
N (0.294, 0.588, 0.646)
N (0.952, 0.904, 0.557)
N (0.633, 0.265, 0.565)
N (0.289, 0.579, 0.328)
N (0.521, 0.043, 0.305)
N (0.706, 0.412, 0.146)
N (0.048, 0.096, 0.057)



No. 12
## PmDy2GaN (PBE)

Data for crystalline PmDy2GaN at its relaxed geometry.

## Properties
Raw total energy ... -29.94 eV per cell
Volume ... 22.28 Å³/atom
Formation energy (no corrections) ... -0.9276 eV per atom
SG ... P4/mmm, No. 123
Crystal system ... tetragonal
DOS(E_F) ... 2.3 states/eV/cell

Unit cell a=4.919 b=4.759 c=4.759 alpha=90.00 beta=90.00 gamma=90.00
Fractional coordinates of all 5 atoms:
Pm (0.500, 0.000, 0.000)
Dy (0.000, 0.000, 0.500)
Dy (0.000, 0.500, 0.000)
Ga (0.500, 0.500, 0.500)
N (0.000, 0.000, 0.000)



No. 13
## Pm2DyGaN (PBE)

Data for crystalline Pm2DyGaN at its relaxed geometry.

## Properties
Raw total energy ... -29.89 eV per cell
Volume ... 23.11 Å³/atom
Formation energy (no corrections) ... -0.8876 eV per atom
SG ... P4/mmm, No. 123
Crystal system ... tetragonal
DOS(E_F) ... 2.3 states/eV/cell

Unit cell a=4.752 b=4.931 c=4.931 alpha=90.00 beta=90.00 gamma=90.00
Fractional coordinates of all 5 atoms:
Pm (0.000, 0.000, 0.500)
Pm (0.000, 0.500, 0.000)
Dy (0.500, 0.000, 0.000)
Ga (0.500, 0.500, 0.500)
N (0.000, 0.000, 0.000)



No. 14
## Dy8Ga3S3N (PBE)

Data for crystalline Dy8Ga3S3N at its relaxed geometry.

## Properties
Raw total energy ... -84.29 eV per cell
Volume ... 23.87 Å³/atom
Formation energy (no corrections) ... -1.1788 eV per atom
SG ... R-3m, No. 166
Crystal system ... trigonal
DOS(E_F) ... 8.1 states/eV/cell

Unit cell a=7.619 b=7.620 c=8.372 alpha=117.08 beta=90.01 gamma=120.00
Fractional coordinates of all 15 atoms:
Dy (0.257, 0.513, 0.270)
Dy (0.743, 0.487, 0.730)
Dy (0.779, 0.558, 0.292)
Dy (0.221, 0.442, 0.708)
Dy (0.779, 0.013, 0.292)
Dy (0.221, 0.987, 0.708)
Dy (0.233, 0.013, 0.292)
Dy (0.767, 0.987, 0.708)
Ga (0.000, 0.000, 0.000)
Ga (0.000, 0.500, 0.000)
Ga (0.500, 0.500, 0.000)
S (0.500, 0.000, 0.500)
S (0.500, 0.500, 0.500)
S (0.000, 0.500, 0.500)
N (0.000, 0.000, 0.500)



No. 15
## DySc2GaN (PBE)

Data for crystalline DySc2GaN at its relaxed geometry.

## Properties
Raw total energy ... -34.00 eV per cell
Volume ... 18.48 Å³/atom
Formation energy (no corrections) ... -1.0761 eV per atom
SG ... P4/mmm, No. 123
Crystal system ... tetragonal
DOS(E_F) ... 2.6 states/eV/cell

Unit cell a=4.713 b=4.428 c=4.428 alpha=90.00 beta=90.00 gamma=90.00
Fractional coordinates of all 5 atoms:
Dy (0.500, 0.000, 0.000)
Sc (0.000, 0.000, 0.500)
Sc (0.000, 0.500, 0.000)
Ga (0.500, 0.500, 0.500)
N (0.000, 0.000, 0.000)



No. 16
## Dy2ScGaN (PBE)

Data for crystalline Dy2ScGaN at its relaxed geometry.

## Properties
Raw total energy ... -32.00 eV per cell
Volume ... 19.95 Å³/atom
Formation energy (no corrections) ... -1.0233 eV per atom
SG ... P4/mmm, No. 123
Crystal system ... tetragonal
DOS(E_F) ... 2.4 states/eV/cell

Unit cell a=4.418 b=4.751 c=4.751 alpha=90.00 beta=90.00 gamma=90.00
Fractional coordinates of all 5 atoms:
Dy (0.000, 0.000, 0.500)
Dy (0.000, 0.500, 0.000)
Sc (0.500, 0.000, 0.000)
Ga (0.500, 0.500, 0.500)
N (0.000, 0.000, 0.000)



No. 17
## Tb2DyGaN (PBE)

Data for crystalline Tb2DyGaN at its relaxed geometry.

## Properties
Raw total energy ... -30.03 eV per cell
Volume ... 21.72 Å³/atom
Formation energy (no corrections) ... -0.9639 eV per atom
SG ... P4/mmm, No. 123
Crystal system ... tetragonal
DOS(E_F) ... 2.4 states/eV/cell

Unit cell a=4.750 b=4.781 c=4.781 alpha=90.00 beta=90.00 gamma=90.00
Fractional coordinates of all 5 atoms:
Tb (0.000, 0.000, 0.500)
Tb (0.000, 0.500, 0.000)
Dy (0.500, 0.000, 0.000)
Ga (0.500, 0.500, 0.500)
N (0.000, 0.000, 0.000)



No. 18
## Dy4TlGaN (PBE)

Data for crystalline Dy4TlGaN at its relaxed geometry.

## Properties
Raw total energy ... -74.56 eV per cell
Volume ... 24.49 Å³/atom
Formation energy (no corrections) ... -0.7361 eV per atom
SG ... Cmcm, No. 63
Crystal system ... orthorhombic
DOS(E_F) ... 9.1 states/eV/cell

Unit cell a=6.664 b=6.670 c=8.402 alpha=90.00 beta=113.36 gamma=90.00
Fractional coordinates of all 14 atoms:
Dy (0.920, 0.250, 0.841)
Dy (0.413, 0.750, 0.825)
Dy (0.080, 0.750, 0.159)
Dy (0.587, 0.250, 0.175)
Dy (0.500, 0.500, 0.500)
Dy (0.000, 0.000, 0.500)
Dy (0.500, 0.000, 0.500)
Dy (0.000, 0.500, 0.500)
Tl (0.611, 0.750, 0.222)
Tl (0.389, 0.250, 0.778)
Ga (0.118, 0.250, 0.237)
Ga (0.882, 0.750, 0.763)
N (0.251, 0.750, 0.501)
N (0.749, 0.250, 0.499)



No. 19
## DyTm2GaN (PBE)

Data for crystalline DyTm2GaN at its relaxed geometry.

## Properties
Raw total energy ... -29.89 eV per cell
Volume ... 20.65 Å³/atom
Formation energy (no corrections) ... -0.9992 eV per atom
SG ... P4/mmm, No. 123
Crystal system ... tetragonal
DOS(E_F) ... 2.3 states/eV/cell

Unit cell a=4.746 b=4.664 c=4.664 alpha=90.00 beta=90.00 gamma=90.00
Fractional coordinates of all 5 atoms:
Dy (0.500, 0.000, 0.000)
Tm (0.000, 0.000, 0.500)
Tm (0.000, 0.500, 0.000)
Ga (0.500, 0.500, 0.500)
N (0.000, 0.000, 0.000)



No. 20
## Dy2YGaN (PBE)

Data for crystalline Dy2YGaN at its relaxed geometry.

## Properties
Raw total energy ... -31.92 eV per cell
Volume ... 21.49 Å³/atom
Formation energy (no corrections) ... -0.9796 eV per atom
SG ... P4/mmm, No. 123
Crystal system ... tetragonal
DOS(E_F) ... 2.4 states/eV/cell

Unit cell a=4.758 b=4.752 c=4.752 alpha=90.00 beta=90.00 gamma=90.00
Fractional coordinates of all 5 atoms:
Dy (0.000, 0.000, 0.500)
Dy (0.000, 0.500, 0.000)
Y (0.500, 0.000, 0.000)
Ga (0.500, 0.500, 0.500)
N (0.000, 0.000, 0.000)